Compound: LaDy4HoS8
Source: the Alexandria database
Functional: PBE
Structure: relaxed

abc: 8.1176 8.1176 19.8593
angles: 90.00 90.00 120.00
Space group R3m (No. 160, hexagonal axes)
Unique sites:
La 0.0000 0.0000 0.0000 [3 per cell]
Dy 0.0000 0.0000 0.2497 [3 per cell]
Dy 0.0027 0.5013 0.1252 [9 per cell]
Ho 0.0000 0.0000 0.6241 [3 per cell]
S 0.0000 0.0000 0.3815 [3 per cell]
S 0.0000 0.0000 0.8624 [3 per cell]
S 0.0341 0.5170 0.3788 [9 per cell]
S 0.1764 0.3527 0.2065 [9 per cell]

## Properties
Formation energy (no corrections)   -1.9467 eV/atom

Compound: LaY3Ru
Source: the Alexandria database
Functional: PBE
Structure: relaxed

abc: 14.215 13.604 6.185
angles: 90.00 102.23 90.00
Space group C2/c (No. 15)
Unique sites:
La 0.000 0.059 0.250 [4 per cell]
La 0.000 0.226 0.750 [4 per cell]
Y 0.089 0.418 0.482 [8 per cell]
Y 0.207 0.207 0.217 [8 per cell]
Y 0.213 0.055 0.736 [8 per cell]
Ru 0.124 0.374 0.970 [8 per cell]

## Properties
DFT formation energy   -150 meV/atom
Offset from the most stable computed form   0.037 eV/atom

Compound: KTc
Source: the Alexandria database
Functional: PBE
Structure: relaxed

abc: 6.0801 6.0801 4.4565
angles: 90.00 90.00 120.00
Space group P6_3/mmc (No. 194)
Unique sites:
K 0.3333 0.6667 0.2500 [2 per cell]
Tc 0.0000 0.0000 0.0000 [2 per cell]

## Properties
DFT formation energy   1309 meV/atom
Offset from the most stable computed form   0.553 eV/atom

Compound: Mg3SbH2Pd6
Source: the Alexandria database
Functional: PBE
Structure: relaxed

abc: 5.5558 5.5558 8.2605
angles: 90.00 90.00 120.00
Space group P-3m1 (No. 164)
Unique sites:
Mg 0.0000 0.0000 0.0000 [1 per cell]
Mg 0.3333 0.6667 0.8135 [2 per cell]
Sb 0.0000 0.0000 0.5000 [1 per cell]
H 0.3333 0.6667 0.1384 [2 per cell]
Pd 0.1694 0.3389 0.2497 [6 per cell]

## Properties
Energy   -4.211 eV per atom

Compound: I
Source: the Alexandria database
Functional: PBE
Structure: relaxed

abc: 3.458 3.458 3.458
angles: 90.00 90.00 90.00
Space group Pm-3m (No. 221)
Unique sites:
I 0.000 0.000 0.000 [1 per cell]

## Properties
Formation energy (no corrections)   0.3611 eV/atom
Offset from the most stable computed form   0.361 eV/atom

Compound: Rb4Sm3ErSe8
Source: the Alexandria database
Functional: PBE
Structure: relaxed

abc: 8.5957 8.5957 24.0242
angles: 90.00 90.00 120.00
Space group R-3m (No. 166, hexagonal axes)
Unique sites:
Rb 0.0000 0.0000 0.0000 [3 per cell]
Rb 0.0000 0.5000 0.0000 [9 per cell]
Sm 0.0000 0.5000 0.5000 [9 per cell]
Er 0.0000 0.0000 0.5000 [3 per cell]
Se 0.0000 0.0000 0.2333 [6 per cell]
Se 0.0064 0.5032 0.2324 [18 per cell]

## Properties
Formation energy (no corrections)   -1.7347 eV/atom

Compound: TiCrCuTc
Source: the Alexandria database
Functional: PBE
Structure: relaxed

abc: 6.033 6.033 6.033
angles: 90.00 90.00 90.00
Space group F-43m (No. 216)
Unique sites:
Ti 0.000 0.000 0.000 [4 per cell]
Cr 0.000 0.000 0.500 [4 per cell]
Cu 0.250 0.250 0.750 [4 per cell]
Tc 0.250 0.250 0.250 [4 per cell]

## Properties
DFT formation energy   -8 meV/atom

Compound: Ni4SnAu
Source: the Alexandria database
Functional: PBE
Structure: relaxed

abc: 6.885 6.885 6.885
angles: 90.00 90.00 90.00
Space group F-43m (No. 216)
Unique sites:
Ni 0.125 0.125 0.125 [16 per cell]
Sn 0.000 0.000 0.500 [4 per cell]
Au 0.250 0.250 0.750 [4 per cell]

## Properties
DFT formation energy   23 meV/atom

Compound: Li2ZrSe
Source: the Alexandria database
Functional: PBE
Structure: relaxed

abc: 6.551 6.551 6.551
angles: 90.00 90.00 90.00
Space group F-43m (No. 216)
Unique sites:
Li 0.000 0.000 0.000 [4 per cell]
Li 0.250 0.250 0.250 [4 per cell]
Zr 0.000 0.000 0.500 [4 per cell]
Se 0.250 0.250 0.750 [4 per cell]

## Properties
Formation energy (no corrections)   -0.1610 eV/atom

Compound: NiAs2P
Source: the Alexandria database
Functional: PBE
Structure: relaxed

abc: 2.850 4.365 10.628
angles: 90.00 90.00 90.00
Space group Imm2 (No. 44)
Unique sites:
Ni 0.000 0.000 0.000 [2 per cell]
As 0.000 0.000 0.519 [2 per cell]
As 0.000 0.500 0.701 [2 per cell]
P 0.000 0.500 0.334 [2 per cell]

## Properties
DFT formation energy   200 meV/atom

Compound: Y2Zr2S7
Source: the Alexandria database
Functional: PBE
Structure: relaxed

abc: 3.803 13.778 8.389
angles: 90.00 90.00 90.00
Space group Imm2 (No. 44)
Unique sites:
Y 0.000 0.231 0.000 [4 per cell]
Zr 0.000 0.000 0.744 [2 per cell]
Zr 0.000 0.500 0.800 [2 per cell]
S 0.000 0.000 0.074 [2 per cell]
S 0.000 0.103 0.477 [4 per cell]
S 0.000 0.319 0.705 [4 per cell]
S 0.000 0.371 0.292 [4 per cell]

## Properties
Formation energy (no corrections)   -1.6949 eV/atom

Compound: Zn3CuBr
Source: the Alexandria database
Functional: PBE
Structure: relaxed

abc: 4.791 4.791 4.791
angles: 90.00 90.00 90.00
Space group Pm-3m (No. 221)
Unique sites:
Zn 0.000 0.000 0.500 [3 per cell]
Cu 0.000 0.000 0.000 [1 per cell]
Br 0.500 0.500 0.500 [1 per cell]

## Properties
Formation energy (no corrections)   0.1063 eV/atom
Offset from the most stable computed form   0.000 eV/atom

| no. | theoretical density (g/cm³) |
| --- | --- |
| 1 | 5.3 |
| 2 | 5.8 |
| 3 | 3.2 |
| 4 | 6.3 |
| 5 | 5.1 |
| 6 | 5.2 |
| 7 | 7.9 |
| 8 | 11.2 |
| 9 | 4.3 |
| 10 | 6.0 |
| 11 | 4.4 |
| 12 | 5.1 |